An optimized crystal structure of NbHgSe, computed with PBE.

abc: 3.3581 7.3408 6.3943
angles: 83.48 58.26 89.94
Positions (direct):
1 Nb 0.5204 0.9988 0.7290
2 Nb 0.4796 0.0012 0.2710
3 Hg 0.2110 0.3286 0.0388
4 Se 0.1870 0.2539 0.5626
5 Se 0.8130 0.7461 0.4374
6 Hg 0.7890 0.6714 0.9612

Summary:
* V: 22.143 Å³/atom
* DOS(E_F): 0.51 states/eV/atom
* raw total energy: -4.9213 eV per atom

An optimized crystal structure of NaTl2Sb2, computed with PBE.

abc: 8.6744 8.6744 4.3213
angles: 90.00 90.00 90.00
Positions (direct):
1 Tl 0.8415 0.6585 0.0000
2 Tl 0.6585 0.1585 0.0000
3 Tl 0.1585 0.3415 0.0000
4 Sb 0.1211 0.6211 0.5000
5 Na 0.0000 0.0000 0.0000
6 Sb 0.8789 0.3789 0.5000
7 Na 0.5000 0.5000 0.0000
8 Sb 0.3789 0.1211 0.5000
9 Tl 0.3415 0.8415 0.0000
10 Sb 0.6211 0.8789 0.5000

Summary:
* V: 32.515 Å³/atom
* offset from the most stable computed form: 95.5 meV/atom
* DOS(E_F): 0.55 states/eV/atom
* raw total energy: -2.8641 eV per atom

An optimized crystal structure of Ag3PtAu7, computed with PBE.

abc: 5.1460 7.1002 7.1002
angles: 90.68 112.53 112.53
Positions (direct):
1 Au 0.6662 0.9140 0.4188
2 Au 0.3338 0.0860 0.5812
3 Au 0.1890 0.1746 0.1746
4 Ag 0.0000 0.7660 0.2340
5 Pt 0.5000 0.5000 0.5000
6 Au 0.0000 0.5000 0.5000
7 Ag 0.5000 0.0000 0.0000
8 Ag 0.0000 0.2340 0.7660
9 Au 0.6662 0.4188 0.9140
10 Au 0.3338 0.5812 0.0860
11 Au 0.8110 0.8254 0.8254

Summary:
* formation energy from the elements: 0.170 eV/atom
* V: 19.772 Å³/atom
* DOS(E_F): 0.34 states/eV/atom
* raw total energy: -3.2420 eV per atom

An optimized crystal structure of AlCr2Mo, computed with PBE.

abc: 9.0927 9.0927 9.0927
angles: 16.88 16.88 16.88
Positions (direct):
1 Cr 0.0028 0.0028 0.0028
2 Cr 0.4972 0.4972 0.4972
3 Mo 0.2500 0.2500 0.2500
4 Al 0.7500 0.7500 0.7500

Summary:
* formation energy from the elements: 0.317 eV/atom
* V: 13.815 Å³/atom
* DOS(E_F): 1.49 states/eV/atom
* raw total energy: -8.1381 eV per atom

An optimized crystal structure of Tl2BiW, computed with PBE.

abc: 5.2513 5.2513 5.2513
angles: 60.00 60.00 60.00
Site moments in Bohr magnetons follow the coordinates.
Positions (direct):
1 Tl 0.2500 0.2500 0.2500  0.00
2 Tl 0.7500 0.7500 0.7500  0.00
3 W 0.0000 0.0000 0.0000  2.15
4 Bi 0.5000 0.5000 0.5000  -0.09

Summary:
* formation energy from the elements: 1.190 eV/atom
* V: 25.600 Å³/atom
* offset from the most stable computed form: 112.6 meV/atom
* DOS(E_F): 0.65 states/eV/atom
* raw total energy: -4.2014 eV per atom

An optimized crystal structure of NaHf2WS, computed with PBE.

abc: 4.9379 4.5276 4.9379
angles: 90.00 90.00 90.00
Positions (direct):
1 Hf 0.0000 0.0000 0.5000
2 S 0.5000 0.5000 0.5000
3 Hf 0.5000 0.0000 0.0000
4 Na 0.0000 0.0000 0.0000
5 W 0.0000 0.5000 0.0000

Summary:
* V: 22.080 Å³/atom
* DOS(E_F): 1.34 states/eV/atom
* raw total energy: -5.5132 eV per atom

> DOS(E_F) of number 5 (Tl2BiW)?

0.65 states/eV/atom

> DOS(E_F) of number 5 (Tl2BiW)?

0.65 states/eV/atom